[1]
A relaxed Ac4LaAg3 crystal. Source: Alexandria, functional PBE.

Computed properties:
E_form = -138 meV per atom
N(E_F) = 8.35 states/eV/cell
Electronic total energy = -3.878 eV per atom

abc: 4.1548 5.1403 12.7437
angles: 90.00 90.00 90.00
Fractional positions:
1 Ac 0.0000 0.0000 0.0000
2 Ac 0.0000 0.5000 0.2725
3 Ac 0.5000 0.0000 0.4690
4 Ac 0.5000 0.5000 0.8047
5 La 0.0000 0.0000 0.7033
6 Ag 0.0000 0.5000 0.5535
7 Ag 0.5000 0.0000 0.2060
8 Ag 0.5000 0.5000 0.0718

***

[2]
A relaxed TlRh2Br crystal. Source: Alexandria, functional PBE.

Computed properties:
N(E_F) = 0.72 states/eV/cell
Electronic total energy = -4.271 eV per atom
Energy relative to the elements, uncorrected = 0.41 eV/atom
Excess energy over the best structure of this formula in the dataset = 176 meV per atom

abc: 8.7589 8.7589 8.7589
angles: 149.05 149.05 44.34
Fractional positions:
1 Tl 0.0000 0.0000 0.0000
2 Tl 0.7500 0.2500 0.5000
3 Rh 0.2222 0.6250 0.0972
4 Rh 0.3750 0.4722 0.5972
5 Rh 0.5278 0.1250 0.9028
6 Rh 0.8750 0.7778 0.4028
7 Br 0.2500 0.7500 0.5000
8 Br 0.5000 0.5000 0.0000

***

[3]
A relaxed MgTa2Se crystal. Source: Alexandria, functional PBE.

Computed properties:
N(E_F) = 2.93 states/eV/cell
Electronic total energy = -6.940 eV per atom
Energy relative to the elements, uncorrected = 0.26 eV/atom
Excess energy over the best structure of this formula in the dataset = 270 meV per atom

abc: 2.9879 2.9879 8.9956
angles: 90.00 90.00 111.63
Fractional positions:
1 Mg 0.0000 0.0000 0.0000
2 Ta 0.5000 0.5000 0.2738
3 Ta 0.5000 0.5000 0.7262
4 Se 0.0000 0.0000 0.5000

***

[4]
A relaxed Ac8In2Ga crystal. Source: Alexandria, functional PBE.

Computed properties:
E_form = -210 meV per atom
N(E_F) = 12.07 states/eV/cell
Electronic total energy = -3.971 eV per atom

abc: 10.7311 10.7311 7.4881
angles: 102.78 102.78 30.56
Fractional positions:
1 Ac 0.0169 0.0169 0.2745
2 Ac 0.2100 0.2100 0.8075
3 Ac 0.3459 0.3459 0.5238
4 Ac 0.4087 0.4087 0.0432
5 Ac 0.5913 0.5913 0.9568
6 Ac 0.6541 0.6541 0.4762
7 Ac 0.7900 0.7900 0.1925
8 Ac 0.9831 0.9831 0.7255
9 In 0.1834 0.1834 0.2448
10 In 0.8166 0.8166 0.7552
11 Ga 0.5000 0.5000 0.5000

***

[5]
A relaxed Pm2H6Rh2Au crystal. Source: Alexandria, functional PBE.

Computed properties:
N(E_F) = 3.46 states/eV/cell
Electronic total energy = -4.688 eV per atom

abc: 6.7895 6.7895 6.7895
angles: 42.29 42.29 42.29
Fractional positions:
1 Pm 0.2299 0.2299 0.2299
2 Pm 0.7701 0.7701 0.7701
3 H 0.2386 0.7213 0.7213
4 H 0.2787 0.2787 0.7614
5 H 0.2787 0.7614 0.2787
6 H 0.7213 0.2386 0.7213
7 H 0.7213 0.7213 0.2386
8 H 0.7614 0.2787 0.2787
9 Rh 0.3855 0.3855 0.3855
10 Rh 0.6145 0.6145 0.6145
11 Au 0.0000 0.0000 0.0000

***

[6]
A relaxed Cs4K3Rb4 crystal. Source: Alexandria, functional PBE.

Computed properties:
E_form = 35 meV per atom
N(E_F) = 10.19 states/eV/cell
Electronic total energy = -0.926 eV per atom

abc: 15.4421 10.0289 10.0289
angles: 43.97 90.00 90.00
Fractional positions:
1 Cs 0.0000 0.0000 0.0000
2 Cs 0.2287 0.8157 0.8157
3 Cs 0.5000 0.9530 0.9530
4 Cs 0.7713 0.8157 0.8157
5 K 0.0000 0.3158 0.3158
6 K 0.2512 0.4891 0.4891
7 K 0.7488 0.4891 0.4891
8 Rb 0.0000 0.6455 0.6455
9 Rb 0.2751 0.1533 0.1533
10 Rb 0.5000 0.6532 0.6532
11 Rb 0.7249 0.1533 0.1533